Density functional theory data (PBE) for Li8Zn2Ir after structural relaxation.

a = 11.9268 Å, b = 6.9860 Å, c = 4.8854 Å
α = 90.00°, β = 102.48°, γ = 90.00°
Space group C2/m (No. 12)
Asymmetric unit:
Li: 0.0810 0.2002 0.3232 (multiplicity 8)
Li: 0.1068 0.5000 0.0036 (multiplicity 4)
Li: 0.1520 0.0000 0.8509 (multiplicity 4)
Zn: 0.2156 0.5000 0.5806 (multiplicity 4)
Ir: 0.0000 0.5000 0.5000 (multiplicity 2)

Summary:
The calculation puts the volume at 18.07 Å³ per atom. The density of states at the Fermi level comes out at 8.30 states/eV per cell. As for the formation energy: -0.02 eV/atom.